{"formula": "LiBeGaAg", "functional": "PBE", "state": "optimized geometry", "cell": [[4.239, 0.000, 0.000], [2.119, 3.671, 0.000], [2.119, 1.224, 3.461]], "species": ["Li", "Ga", "Be", "Ag"], "fractional_positions": [[0.500, 0.500, 0.500], [0.750, 0.750, 0.750], [0.000, 0.000, 0.000], [0.250, 0.250, 0.250]], "e_form_ev_per_atom": -0.05, "spacegroup": "No. 216", "dos_ef_per_ev_atom": 0.20}

---

{"formula": "MnBeGa2Ag", "functional": "PBE", "state": "optimized geometry", "cell": [[4.389, 0.000, 0.000], [0.000, 4.540, 0.000], [0.000, 0.000, 4.389]], "species": ["Mn", "Ga", "Ag", "Be", "Ga"], "fractional_positions": [[0.500, 0.500, 0.500], [0.000, 0.000, 0.500], [0.000, 0.500, 0.000], [0.000, 0.000, 0.000], [0.500, 0.000, 0.000]], "e_form_ev_per_atom": 0.88, "spacegroup": "No. 123", "dos_ef_per_ev_atom": 1.11}